1.
VASP calculation (PBE) on a relaxed TaPd6Pt crystal.

Calculated values
energy above the lowest structure with this stoichiometry = 211.7 meV/atom
M_tot = 0.000 μB/atom
E_form = -0.143 eV per atom
V = 15.971 A^3/atom

Unit cell a=7.323 b=6.956 c=5.049 alpha=46.45 beta=43.34 gamma=58.19
Element x y z (fractional)
Pt1 0.000 0.000 0.000
Pd1 0.752 0.963 0.806
Pd2 0.519 0.752 0.764
Pd3 0.481 0.248 0.236
Pd4 0.248 0.037 0.194
Pd5 0.967 0.481 0.304
Pd6 0.033 0.519 0.696
Ta1 0.500 0.500 0.500

=====

2.
VASP calculation (PBE) on a relaxed TaPdPt3 crystal.

Calculated values
energy above the lowest structure with this stoichiometry = 0.0 meV/atom
M_tot = 0.000 μB/atom
E_form = -0.561 eV per atom
V = 15.797 A^3/atom

Unit cell a=4.885 b=4.859 c=7.480 alpha=96.37 beta=109.08 gamma=70.31
Element x y z (fractional)
Pt1 0.264 0.844 0.810
Pt2 0.065 0.845 0.412
Pt3 0.460 0.844 0.201
Pt4 0.961 0.344 0.203
Pt5 0.761 0.345 0.804
Pt6 0.566 0.345 0.413
Pd1 0.361 0.344 0.003
Pd2 0.665 0.844 0.612
Ta1 0.865 0.845 0.011
Ta2 0.160 0.344 0.603

=====

3.
VASP calculation (PBE) on a relaxed TaPd9Pt4 crystal.

Calculated values
M_tot = 0.000 μB/atom
E_form = -0.061 eV per atom
V = 16.583 A^3/atom

Unit cell a=8.671 b=7.864 c=7.864 alpha=120.00 beta=90.00 gamma=90.00
Element x y z (fractional)
Pd1 0.967 0.583 0.791
Pd2 0.967 0.209 0.791
Pd3 0.533 0.209 0.791
Pd4 0.750 0.526 0.052
Pd5 0.467 0.791 0.583
Pd6 0.250 0.474 0.526
Pd7 0.250 0.052 0.526
Pd8 0.250 0.474 0.948
Pd9 0.033 0.791 0.583
Pd10 0.533 0.583 0.791
Pd11 0.967 0.209 0.417
Pd12 0.033 0.791 0.209
Pd13 0.467 0.417 0.209
Pd14 0.033 0.417 0.209
Pd15 0.467 0.791 0.209
Pd16 0.750 0.948 0.474
Pd17 0.750 0.526 0.474
Pd18 0.533 0.209 0.417
Pt1 0.750 0.228 0.114
Pt2 0.250 0.772 0.886
Pt3 0.250 0.114 0.228
Pt4 0.250 0.114 0.886
Pt5 0.750 0.886 0.114
Pt6 0.750 0.886 0.772
Pt7 0.000 0.000 0.000
Pt8 0.500 0.000 0.000
Ta1 0.250 0.667 0.333
Ta2 0.750 0.333 0.667

=====

4.
VASP calculation (PBE) on a relaxed TaPdPt2 crystal.

Calculated values
M_tot = 0.000 μB/atom
E_form = -0.165 eV per atom
V = 17.762 A^3/atom

Unit cell a=7.214 b=7.214 c=5.786 alpha=51.43 beta=51.43 gamma=90.00
Element x y z (fractional)
Ta1 0.750 0.250 0.500
Ta2 0.000 0.000 0.000
Pd1 0.250 0.750 0.500
Pd2 0.500 0.500 0.000
Pt1 0.645 0.125 0.250
Pt2 0.875 0.895 0.750
Pt3 0.375 0.355 0.750
Pt4 0.105 0.625 0.250

=====

5.
VASP calculation (PBE) on a relaxed TaPd6Pt crystal.

Calculated values
energy above the lowest structure with this stoichiometry = 0.0 meV/atom
M_tot = 0.000 μB/atom
E_form = -0.354 eV per atom
V = 15.595 A^3/atom

Unit cell a=3.979 b=3.979 c=8.367 alpha=76.24 beta=76.24 gamma=90.00
Element x y z (fractional)
Pd1 0.378 0.878 0.243
Pd2 0.878 0.378 0.243
Pd3 0.752 0.752 0.496
Pd4 0.122 0.622 0.757
Pd5 0.622 0.122 0.757
Pd6 0.248 0.248 0.504
Ta1 0.500 0.500 0.000
Pt1 0.000 0.000 0.000

=====

6.
VASP calculation (PBE) on a relaxed TaPdPt2 crystal.

Calculated values
M_tot = 0.000 μB/atom
E_form = -0.691 eV per atom
V = 15.788 A^3/atom

Unit cell a=4.600 b=4.908 c=5.594 alpha=90.01 beta=90.00 gamma=90.00
Element x y z (fractional)
Pt1 0.750 0.171 0.500
Pt2 0.250 0.829 0.500
Pt3 0.750 0.171 0.000
Pt4 0.250 0.829 0.000
Ta1 0.250 0.336 0.250
Ta2 0.750 0.664 0.750
Pd1 0.750 0.664 0.250
Pd2 0.250 0.336 0.750

=====

7.
VASP calculation (PBE) on a relaxed TaPd5Pt4 crystal.

Calculated values
M_tot = 0.000 μB/atom
E_form = -0.103 eV per atom
V = 16.966 A^3/atom

Unit cell a=3.987 b=7.075 c=7.245 alpha=119.02 beta=105.97 gamma=90.00
Element x y z (fractional)
Pd1 0.500 0.500 0.000
Pd2 0.833 0.286 0.666
Pd3 0.829 0.889 0.658
Pd4 0.171 0.111 0.342
Pd5 0.167 0.714 0.334
Pt1 0.022 0.267 0.044
Pt2 0.978 0.733 0.956
Pt3 0.323 0.585 0.647
Pt4 0.677 0.415 0.353
Ta1 0.500 0.000 0.000

=====

8.
VASP calculation (PBE) on a relaxed Ta4PdPt7 crystal.

Calculated values
M_tot = 0.000 μB/atom
E_form = -0.362 eV per atom
V = 17.824 A^3/atom

Unit cell a=4.846 b=8.555 c=5.904 alpha=81.19 beta=65.77 gamma=73.55
Element x y z (fractional)
Pt1 0.639 0.458 0.265
Pt2 0.790 0.906 0.514
Pt3 0.076 0.661 0.187
Pt4 0.210 0.094 0.486
Pt5 0.924 0.339 0.813
Pt6 0.361 0.542 0.735
Pt7 0.500 0.000 0.000
Ta1 0.745 0.670 0.839
Ta2 0.418 0.776 0.387
Ta3 0.582 0.224 0.613
Ta4 0.255 0.330 0.161
Pd1 0.000 0.000 0.000